1.
# Mg2BPt2

A relaxed structure of Mg2BPt2 (PBE, Alexandria).

Summary:
Mass density in Mg/m³: 9.77
Space-group type: P4/mbm, No. 127
DOS(E_F) in states/eV per cell: 3.05
Total magnetic moment in Bohr magnetons per cell: 0.0

The structure in POSCAR format:
```
Mg2BPt2
1.0
5.822 0.000 0.000
0.000 5.822 0.000
0.000 0.000 4.508
Pt B Mg
4 2 4
Direct
0.166 0.334 0.000
0.334 0.834 0.000
0.834 0.666 0.000
0.666 0.166 0.000
0.000 0.000 0.000
0.500 0.500 0.000
0.334 0.166 0.500
0.834 0.334 0.500
0.666 0.834 0.500
0.166 0.666 0.500
```

---

2.
# CoNi4Pb

A relaxed structure of CoNi4Pb (PBE, Alexandria).

Summary:
Mass density in Mg/m³: 10.50
Space-group type: F-43m, No. 216
DOS(E_F) in states/eV per cell: 9.92
Total magnetic moment in Bohr magnetons per cell: 3.2

The structure in POSCAR format:
```
CoNi4Pb
1.0
1.219 1.557 4.397
-3.114 2.631 2.575
-2.110 -1.895 3.899
Pb Co Ni
1 1 4
Direct
0.250 0.250 0.250
0.000 0.000 0.000
0.626 0.122 0.626
0.626 0.626 0.626
0.122 0.626 0.626
0.626 0.626 0.122
```

---

no.,formation energy (eV/f.u.)
1,-2.41
2,1.63